Entry 1:
SrCaW2, relaxed, DFT PBE; E_tot = -6.228 eV/atom; volume = 21.6 Å³/atom; theoretical density = 9.50 g cm⁻³; ΔH_f (0 K) = 1170 meV/atom
1.0
2.848 -0.032 0.000
-0.138 2.845 0.000
0.000 0.000 10.696
Sr Ca W
1 1 2
Cartesian
1.355 1.406 8.022
1.355 1.406 2.674
0.000 0.000 0.081
0.000 0.000 5.267

***

Entry 2:
SrCa2W2, relaxed, DFT PBE; E_tot = -5.358 eV/atom; volume = 26.3 Å³/atom; theoretical density = 6.75 g cm⁻³; ΔH_f (0 K) = 961 meV/atom
1.0
9.125 0.000 0.000
0.000 9.125 0.000
0.000 0.000 3.164
Sr Ca W
2 4 4
Cartesian
0.000 0.000 0.000
4.562 4.562 0.000
2.787 7.349 0.000
7.349 6.338 0.000
6.338 1.776 0.000
1.776 2.787 0.000
0.829 5.391 1.582
5.391 8.296 1.582
8.296 3.734 1.582
3.734 0.829 1.582